A plane-wave DFT calculation with PBE-GGA was carried out for an optimized crystal structure of CsAlCd2O.

```
data_CsAlCd2O
_chemical_formula_sum 'Cs1 Al1 Cd2 O1'
_space_group_name_H-M_alt 'P 1'
_space_group_IT_number 1
_space_group_name_Hall 'P 1'
_cell_length_a 6.891
_cell_length_b 6.891
_cell_length_c 4.481
_cell_angle_alpha 90.00
_cell_angle_beta 90.00
_cell_angle_gamma 90.00
loop_
_atom_site_label
_atom_site_type_symbol
_atom_site_fract_x
_atom_site_fract_y
_atom_site_fract_z
Cs1 Cs 0.000 0.000 0.000
Al1 Al 0.500 0.500 0.500
Cd1 Cd 0.000 0.500 0.000
Cd2 Cd 0.500 0.000 0.000
O1 O 0.000 0.000 0.500
```

E = -1.650 eV/atom
Magnetic moment = 0.00 μB/cell
DOS(E_F) = 0.6297 states/eV/atom